[1]
Entry from Alexandria: a geometry-optimized Be2Tc2Os structure (PBE-GGA).

```
data_Be2Tc2Os
_chemical_formula_sum 'Be4 Tc4 Os2'
_cell_length_a 6.206
_cell_length_b 6.206
_cell_length_c 3.013
_cell_angle_alpha 90.00
_cell_angle_beta 90.00
_cell_angle_gamma 90.00
_space_group_name_H-M_alt 'P 4/m b m'
_space_group_IT_number 127
_space_group_name_Hall '-P 4 2ab'
loop_
_atom_site_label
_atom_site_type_symbol
_atom_site_fract_x
_atom_site_fract_y
_atom_site_fract_z
Be1 Be 0.123 0.377 0.000
Tc1 Tc 0.170 0.670 0.500
Os1 Os 0.000 0.000 0.000
```

final energy: -8.06 eV per atom
DFT formation energy: -175 meV/atom
total magnetization: 0.00 μB/atom

[2]
Entry from Alexandria: a geometry-optimized NdSmY3Tm structure (PBE-GGA).

```
data_NdSmY3Tm
_chemical_formula_sum 'Nd4 Sm4 Y12 Tm4'
_cell_length_a 5.070
_cell_length_b 15.222
_cell_length_c 10.141
_cell_angle_alpha 90.00
_cell_angle_beta 90.00
_cell_angle_gamma 90.00
_space_group_name_H-M_alt 'C m c m'
_space_group_IT_number 63
_space_group_name_Hall '-C 2c 2'
loop_
_atom_site_label
_atom_site_type_symbol
_atom_site_fract_x
_atom_site_fract_y
_atom_site_fract_z
Nd1 Nd 0.000 0.000 0.000
Sm1 Sm 0.000 0.499 0.250
Y1 Y 0.000 0.168 0.250
Y2 Y 0.000 0.333 0.000
Tm1 Tm 0.000 0.167 0.750
```

final energy: -5.54 eV per atom
DFT formation energy: 22 meV/atom
total magnetization: 0.00 μB/atom

[3]
Entry from Alexandria: a geometry-optimized RbErTeO4 structure (PBE-GGA).

```
data_RbErTeO4
_chemical_formula_sum 'Rb2 Er2 Te2 O8'
_cell_length_a 5.917
_cell_length_b 6.107
_cell_length_c 7.973
_cell_angle_alpha 90.00
_cell_angle_beta 106.08
_cell_angle_gamma 90.00
_space_group_name_H-M_alt 'P 1 21/m 1'
_space_group_IT_number 11
loop_
_space_group_symop_operation_xyz
'x,y,z'
'-x,-y,-z'
'-x,y+1/2,-z'
'x,-y+1/2,z'
loop_
_atom_site_label
_atom_site_type_symbol
_atom_site_fract_x
_atom_site_fract_y
_atom_site_fract_z
Rb1 Rb 0.097 0.250 0.143
Er1 Er 0.159 0.750 0.462
Te1 Te 0.414 0.250 0.732
O1 O 0.166 0.015 0.658
O2 O 0.223 0.750 0.202
O3 O 0.444 0.250 0.498
```

final energy: -6.14 eV per atom
total magnetization: 0.00 μB/atom
E_form (uncorrected): -2.066 eV/atom